Material: SrVH
Method: DFT, GGA-PBE
State: optimized geometry

Results
E = -13.52 eV per formula unit
ρ = 4.00 g/cm3
Spin magnetization = 0.0 μB per cell

a b c (Å): 3.367 6.053 6.141
angles (deg): 111.09 91.79 95.41
Atoms (fractional coordinates):
Sr: 0.000 0.000 0.000
Sr: 0.101 0.365 0.621
V: 0.443 0.821 0.407
V: 0.649 0.561 0.184
H: 0.153 0.485 0.282
H: 0.540 0.097 0.336